# 1
DFT (PBE) results for a relaxed structure of ThSnO.

Unit cell a=3.9503 b=3.9503 c=8.2401 alpha=90.00 beta=90.00 gamma=90.00
Positions (direct):
Sn 0.0000 0.0000 0.0000
Sn 0.5000 0.5000 0.0000
O 0.0000 0.5000 0.4000
O 0.5000 0.0000 0.6000
Th 0.0000 0.5000 0.6680
Th 0.5000 0.0000 0.3320

- space-group type = P4/nmm (129)
- formation energy (no corrections) (eV per atom) = -1.68
- E (eV per atom) = -7.14

***

# 2
DFT (PBE) results for a relaxed structure of Ti5Sn2O.

Unit cell a=3.7947 b=7.9960 c=10.7073 alpha=90.00 beta=90.00 gamma=103.73
Positions (direct):
Ti 0.8648 0.7296 0.8714
Ti 0.8648 0.7296 0.6286
Ti 0.3052 0.6104 0.4449
Ti 0.3052 0.6104 0.0551
Ti 0.7443 0.4885 0.2500
Ti 0.2557 0.5115 0.7500
Ti 0.6948 0.3896 0.5551
Ti 0.6948 0.3896 0.9449
Ti 0.1352 0.2704 0.1286
Ti 0.1352 0.2704 0.3714
Sn 0.9437 0.8875 0.3834
Sn 0.9437 0.8875 0.1166
Sn 0.0563 0.1125 0.6166
Sn 0.0563 0.1125 0.8834
O 0.7505 0.5009 0.7500
O 0.2495 0.4991 0.2500

- space-group type = Cmcm (63)
- formation energy (no corrections) (eV per atom) = -0.41
- E (eV per atom) = -6.96

***

# 3
DFT (PBE) results for a relaxed structure of Ti2SnO.

Unit cell a=3.1682 b=3.1682 c=7.0325 alpha=76.98 beta=76.98 gamma=60.00
Positions (direct):
Ti 0.0543 0.0543 0.8371
Ti 0.2788 0.2788 0.1636
Sn 0.4991 0.4991 0.5026
O 0.6678 0.6678 0.9966

- space-group type = R3m (160)
- formation energy (no corrections) (eV per atom) = -1.29
- E (eV per atom) = -7.48

***

# 4
DFT (PBE) results for a relaxed structure of Ti4Sn2O.

Unit cell a=5.6795 b=5.6795 c=5.7836 alpha=119.27 beta=119.27 gamma=90.25
Positions (direct):
Ti 0.7496 0.7496 0.0000
Ti 0.2504 0.2504 0.0000
Ti 0.2451 0.2451 0.4902
Ti 0.7549 0.7549 0.5098
Sn 0.2500 0.7500 0.5000
Sn 0.7500 0.2500 0.5000
O 0.9999 0.0001 0.0000

- space-group type = Fmmm (69)
- formation energy (no corrections) (eV per atom) = -0.64
- E (eV per atom) = -7.00

***

# 5
DFT (PBE) results for a relaxed structure of Ti2SnO.

Unit cell a=4.5061 b=4.5061 c=4.5061 alpha=60.00 beta=60.00 gamma=60.00
Positions (direct):
Sn 0.5000 0.5000 0.5000
O 0.0000 0.0000 0.0000
Ti 0.2500 0.2500 0.2500
Ti 0.7500 0.7500 0.7500

- space-group type = Fm-3m (225)
- formation energy (no corrections) (eV per atom) = -0.24
- E (eV per atom) = -6.42

***

# 6
DFT (PBE) results for a relaxed structure of TiSnO4.

Unit cell a=5.6856 b=5.6856 c=7.4580 alpha=71.85 beta=71.85 gamma=72.01
Positions (direct):
Ti 0.6766 0.6766 0.3100
Ti 0.6530 0.6530 0.8168
Ti 0.9976 0.9976 0.0039
Sn 0.3371 0.3371 0.1664
Sn 0.3307 0.3307 0.6692
Sn 0.9987 0.9987 0.5035
O 0.6321 0.0147 0.6761
O 0.9672 0.3738 0.3398
O 0.0928 0.0928 0.7164
O 0.4482 0.4482 0.3656
O 0.7725 0.7725 0.0441
O 0.9008 0.9008 0.2888
O 0.5681 0.5681 0.6300
O 0.2212 0.2212 0.9738
O 0.3738 0.9672 0.3398
O 0.7052 0.3097 0.9897
O 0.0147 0.6321 0.6761
O 0.3097 0.7052 0.9897

- space-group type = Cm (8)
- formation energy (no corrections) (eV per atom) = -2.30
- E (eV per atom) = -7.58

***

# 7
DFT (PBE) results for a relaxed structure of TiSnO4.

Unit cell a=4.9146 b=4.9146 c=8.9906 alpha=90.00 beta=90.00 gamma=90.00
Positions (direct):
Ti 0.0000 0.5000 0.2500
Ti 0.5000 0.0000 0.7500
Sn 0.0000 0.0000 0.0000
Sn 0.0000 0.0000 0.5000
O 0.2698 0.1898 0.8730
O 0.7302 0.8102 0.8730
O 0.1898 0.2698 0.3730
O 0.2698 0.8102 0.6270
O 0.7302 0.1898 0.6270
O 0.1898 0.7302 0.1270
O 0.8102 0.2698 0.1270
O 0.8102 0.7302 0.3730

- space-group type = P-42c (112)
- formation energy (no corrections) (eV per atom) = -2.04
- E (eV per atom) = -7.33

***

# 8
DFT (PBE) results for a relaxed structure of Ti4Sn2O.

Unit cell a=4.0958 b=4.0958 c=7.7360 alpha=74.65 beta=74.65 gamma=90.00
Positions (direct):
Sn 0.3495 0.3495 0.3010
Sn 0.6505 0.6505 0.6990
O 0.0000 0.0000 0.0000
Ti 0.1522 0.1522 0.6956
Ti 0.8478 0.8478 0.3044
Ti 0.0000 0.5000 0.0000
Ti 0.5000 0.0000 0.0000

- space-group type = I4/mmm (139)
- formation energy (no corrections) (eV per atom) = -0.91
- E (eV per atom) = -7.27

***

# 9
DFT (PBE) results for a relaxed structure of TiSnO4.

Unit cell a=5.6751 b=5.6751 c=5.6751 alpha=107.58 beta=107.58 gamma=113.32
Positions (direct):
Ti 0.7529 0.7529 0.0000
Ti 0.5029 0.0029 0.5000
Sn 0.2497 0.2497 0.0000
Sn 0.9997 0.4997 0.5000
O 0.2620 0.9546 0.6926
O 0.7367 0.4326 0.6959
O 0.7046 0.5120 0.1926
O 0.1826 0.9867 0.1959
O 0.3194 0.5120 0.8074
O 0.7908 0.9867 0.8041
O 0.7367 0.0408 0.3041
O 0.2620 0.5694 0.3074

- space-group type = I4_1md (109)
- formation energy (no corrections) (eV per atom) = -2.28
- E (eV per atom) = -7.57

***

# 10
DFT (PBE) results for a relaxed structure of Ti8SnO2.

Unit cell a=4.3247 b=6.7227 c=6.7227 alpha=121.23 beta=91.74 gamma=91.74
Positions (direct):
Ti 0.9406 0.8755 0.6061
Ti 0.9406 0.6061 0.8755
Ti 0.3447 0.6104 0.6104
Ti 0.5000 0.7482 0.2518
Ti 0.5000 0.2518 0.7482
Ti 0.6553 0.3896 0.3896
Ti 0.0594 0.3939 0.1245
Ti 0.0594 0.1245 0.3939
Sn 0.5000 0.0000 0.0000
O 0.0000 0.2418 0.7582
O 0.0000 0.7582 0.2418

- space-group type = C2/m (12)
- formation energy (no corrections) (eV per atom) = -0.82
- E (eV per atom) = -7.83

***

# 11
DFT (PBE) results for a relaxed structure of Ti9SnO20.

Unit cell a=7.6019 b=7.6019 c=7.3122 alpha=85.89 beta=85.89 gamma=51.35
Positions (direct):
Ti 0.2975 0.2975 0.7125
Ti 0.2989 0.2989 0.2189
Ti 0.7025 0.7025 0.2875
Ti 0.5000 0.5000 0.5000
Ti 0.7011 0.7011 0.7811
Ti 0.1023 0.1023 0.4172
Ti 0.8977 0.8977 0.5828
Ti 0.0992 0.0992 0.9155
Ti 0.9008 0.9008 0.0845
Sn 0.5000 0.5000 0.0000
O 0.6068 0.9957 0.6991
O 0.9957 0.6068 0.6991
O 0.3932 0.0043 0.3009
O 0.6381 0.6381 0.5573
O 0.7595 0.7595 0.0478
O 0.5623 0.5623 0.2509
O 0.1629 0.1629 0.6397
O 0.3619 0.3619 0.4427
O 0.0043 0.3932 0.3009
O 0.8059 0.1941 0.5000
O 0.4053 0.8073 0.8947
O 0.8073 0.4053 0.8947
O 0.1941 0.8059 0.5000
O 0.5947 0.1927 0.1053
O 0.2405 0.2405 0.9522
O 0.8371 0.8371 0.3603
O 0.4377 0.4377 0.7491
O 0.0377 0.0377 0.1536
O 0.9623 0.9623 0.8464
O 0.1927 0.5947 0.1053

- space-group type = C2/m (12)
- formation energy (no corrections) (eV per atom) = -2.85
- E (eV per atom) = -8.66

***

# 12
DFT (PBE) results for a relaxed structure of TiSnO4.

Unit cell a=5.8780 b=5.8780 c=5.8780 alpha=141.38 beta=141.38 gamma=55.76
Positions (direct):
Ti 0.7500 0.2500 0.5000
Sn 0.0000 0.0000 0.0000
O 0.5568 0.0568 0.5000
O 0.2069 0.2069 0.0000
O 0.9432 0.4432 0.5000
O 0.7931 0.7931 0.0000

- space-group type = I-4m2 (119)
- formation energy (no corrections) (eV per atom) = -2.27
- E (eV per atom) = -7.56

***

# 13
DFT (PBE) results for a relaxed structure of TiSnO4.

Unit cell a=4.7516 b=4.7516 c=3.0996 alpha=90.00 beta=90.00 gamma=90.21
Positions (direct):
Ti 0.5000 0.5000 0.5000
Sn 0.0000 0.0000 0.0000
O 0.2035 0.2035 0.5000
O 0.7965 0.7965 0.5000
O 0.6858 0.3142 0.0000
O 0.3142 0.6858 0.0000

- space-group type = Cmmm (65)
- formation energy (no corrections) (eV per atom) = -2.30
- E (eV per atom) = -7.59

***

# 14
DFT (PBE) results for a relaxed structure of Ti2Sn3O10.

Unit cell a=4.7568 b=4.7568 c=15.7192 alpha=90.00 beta=90.00 gamma=90.08
Positions (direct):
Ti 0.0000 0.0000 0.9952
Ti 0.0000 0.0000 0.5973
Ti 0.0000 0.0000 0.4038
Ti 0.5000 0.5000 0.9029
Sn 0.0000 0.0000 0.8010
Sn 0.0000 0.0000 0.1996
Sn 0.5000 0.5000 0.3022
Sn 0.5000 0.5000 0.5013
Sn 0.5000 0.5000 0.7008
Sn 0.5000 0.5000 0.0953
O 0.8143 0.1857 0.5009
O 0.8017 0.1983 0.9049
O 0.8097 0.1903 0.6958
O 0.8101 0.1899 0.3059
O 0.8100 0.1900 0.0935
O 0.3013 0.3013 0.9927
O 0.3094 0.3094 0.8053
O 0.3062 0.3062 0.1990
O 0.2968 0.2968 0.6000
O 0.2968 0.2968 0.4024
O 0.6987 0.6987 0.9927
O 0.6906 0.6906 0.8053
O 0.7032 0.7032 0.6000
O 0.7032 0.7032 0.4024
O 0.6938 0.6938 0.1990
O 0.1857 0.8143 0.5009
O 0.1983 0.8017 0.9049
O 0.1903 0.8097 0.6958
O 0.1899 0.8101 0.3059
O 0.1900 0.8100 0.0935

- space-group type = Cmm2 (35)
- formation energy (no corrections) (eV per atom) = -2.16
- E (eV per atom) = -7.32

***

# 15
DFT (PBE) results for a relaxed structure of Ti8Sn2O.

Unit cell a=4.6117 b=5.5649 c=8.2057 alpha=113.55 beta=106.32 gamma=90.00
Positions (direct):
Ti 0.4238 0.5709 0.8475
Ti 0.6226 0.9853 0.2452
Ti 0.7849 0.6976 0.5699
Ti 0.9963 0.2349 0.9925
Ti 0.2151 0.3024 0.4301
Ti 0.3774 0.0147 0.7548
Ti 0.5762 0.4291 0.1525
Ti 0.0037 0.7651 0.0075
Sn 0.8254 0.2617 0.6508
Sn 0.1746 0.7383 0.3492
O 0.5000 0.0000 0.0000

- space-group type = C2/m (12)
- formation energy (no corrections) (eV per atom) = -0.49
- E (eV per atom) = -7.41

***

# 16
DFT (PBE) results for a relaxed structure of Ti6SnO2.

Unit cell a=5.2898 b=5.2898 c=7.4816 alpha=69.30 beta=69.30 gamma=60.00
Positions (direct):
Ti 0.7784 0.4608 0.6620
Ti 0.0988 0.7784 0.6620
Ti 0.4608 0.0988 0.6620
Ti 0.2367 0.5523 0.3389
Ti 0.8721 0.2367 0.3389
Ti 0.5523 0.8721 0.3389
Sn 0.3329 0.3329 0.0013
O 0.7350 0.7350 0.7950
O 0.5987 0.5987 0.2040

- space-group type = R3 (146)
- formation energy (no corrections) (eV per atom) = -0.88
- E (eV per atom) = -7.69

***

# 17
DFT (PBE) results for a relaxed structure of Ti2SnO.

Unit cell a=3.2578 b=3.2578 c=6.8384 alpha=76.22 beta=76.22 gamma=60.00
Positions (direct):
Sn 0.5000 0.5000 0.5000
O 0.0000 0.0000 0.0000
Ti 0.2839 0.2839 0.1484
Ti 0.7161 0.7161 0.8516

- space-group type = R-3m (166)
- formation energy (no corrections) (eV per atom) = -1.28
- E (eV per atom) = -7.46

***

# 18
DFT (PBE) results for a relaxed structure of Ti2SnO.

Unit cell a=3.7674 b=6.5057 c=9.9836 alpha=90.00 beta=90.00 gamma=90.00
Positions (direct):
Ti 0.7500 0.1463 0.4527
Ti 0.2500 0.8537 0.5473
Ti 0.7500 0.6463 0.0473
Ti 0.2500 0.3537 0.9527
Ti 0.7500 0.1708 0.7602
Ti 0.2500 0.3292 0.2602
Ti 0.7500 0.6708 0.7398
Ti 0.2500 0.8292 0.2398
Sn 0.7500 0.0917 0.1124
Sn 0.2500 0.9083 0.8876
Sn 0.7500 0.5917 0.3876
Sn 0.2500 0.4083 0.6124
O 0.2500 0.5666 0.1094
O 0.2500 0.0666 0.3906
O 0.7500 0.4334 0.8906
O 0.7500 0.9334 0.6094

- space-group type = Pnma (62)
- formation energy (no corrections) (eV per atom) = -1.33
- E (eV per atom) = -7.51

***

# 19
DFT (PBE) results for a relaxed structure of Ti2SnO.

Unit cell a=6.3256 b=6.3256 c=5.5888 alpha=55.53 beta=55.53 gamma=90.00
Positions (direct):
Sn 0.0000 0.0000 0.0000
Sn 0.7500 0.2500 0.5000
O 0.5000 0.5000 0.0000
O 0.2500 0.7500 0.5000
Ti 0.5006 0.1250 0.2500
Ti 0.2494 0.6250 0.2500
Ti 0.3750 0.4994 0.7500
Ti 0.8750 0.7506 0.7500

- space-group type = I-42d (122)
- formation energy (no corrections) (eV per atom) = -1.26
- E (eV per atom) = -7.45

***

# 20
DFT (PBE) results for a relaxed structure of Ti2SnO2.

Unit cell a=3.4808 b=3.4808 c=6.3255 alpha=74.03 beta=74.03 gamma=90.00
Positions (direct):
Sn 0.0000 0.0000 0.0000
O 0.7500 0.2500 0.5000
O 0.2500 0.7500 0.5000
Ti 0.3405 0.3405 0.3190
Ti 0.6595 0.6595 0.6810

- space-group type = I4/mmm (139)
- formation energy (no corrections) (eV per atom) = -1.84
- E (eV per atom) = -7.78